# 1
## CoTcAu2 (PBE-GGA)

Data for a relaxed structure of CoTcAu2.

```
4
Lattice="2.8155 -4.0977 0.0000 2.8155 4.0977 0.0000 0.0000 0.0000 2.7070" Properties=species:S:1:pos:R:3 pbc="T T T"
Co 0.0000 0.0000 0.0000
Tc 2.8155 0.0000 0.0000
Au 1.4077 2.0488 1.3535
Au 1.4077 -2.0488 1.3535
```

Properties
Space group: Cmmm, No. 65
ΔH_f (0 K): 1.598 eV per formula unit
Energy above the lowest structure with this stoichiometry: 0.240 eV per atom
Fermi-level density of states: 4.49 states/eV/cell


# 2
## VFe2HW (PBE-GGA)

Data for a relaxed structure of VFe2HW.

```
5
Lattice="3.6994 0.0000 0.0000 0.0000 3.6994 0.0000 0.0000 0.0000 3.7894" Properties=species:S:1:pos:R:3 pbc="T T T"
V 0.0000 0.0000 0.0000
Fe 0.0000 1.8497 1.8947
Fe 1.8497 0.0000 1.8947
H 0.0000 0.0000 1.8947
W 1.8497 1.8497 0.0000
```

Properties
Space group: P4/mmm, No. 123
Energy above the lowest structure with this stoichiometry: 0.000 eV per atom
Fermi-level density of states: 5.05 states/eV/cell


# 3
## KSi2Pd2 (PBE-GGA)

Data for a relaxed structure of KSi2Pd2.

```
5
Lattice="-2.1129 2.1129 5.8235 2.1129 -2.1129 5.8235 2.1129 2.1129 -5.8235" Properties=species:S:1:pos:R:3 pbc="T T T"
K 0.0000 0.0000 0.0000
Si 2.1129 0.0000 2.9117
Si 0.0000 2.1129 2.9117
Pd 0.0000 0.0000 4.1158
Pd 0.0000 0.0000 7.5312
```

Properties
Space group: I4/mmm, No. 139
Energy above the lowest structure with this stoichiometry: 0.151 eV per atom
Formation energy (no corrections): -1.33 eV/f.u.
Fermi-level density of states: 2.04 states/eV/cell


# 4
## ZrNi2Au2 (PBE-GGA)

Data for a relaxed structure of ZrNi2Au2.

```
10
Lattice="7.3699 0.0000 0.0000 0.0000 7.3699 0.0000 0.0000 0.0000 2.9882" Properties=species:S:1:pos:R:3 pbc="T T T"
Zr 0.0000 0.0000 0.0000
Zr 3.6850 3.6850 0.0000
Ni 1.1962 2.4888 1.4941
Ni 2.4888 6.1737 1.4941
Ni 4.8812 1.1962 1.4941
Ni 6.1737 4.8812 1.4941
Au 0.9933 4.6782 0.0000
Au 2.6917 0.9933 0.0000
Au 4.6782 6.3767 0.0000
Au 6.3767 2.6917 0.0000
```

Properties
Space group: P4/mbm, No. 127
ΔH_f (0 K): -0.406 eV per formula unit
Energy above the lowest structure with this stoichiometry: 0.152 eV per atom
Fermi-level density of states: 9.28 states/eV/cell


# 5
## Hg2Se (PBE-GGA)

Data for a relaxed structure of Hg2Se.

```
12
Lattice="7.7341 0.0000 0.0000 -3.8670 6.6979 0.0000 0.0000 0.0000 6.8448" Properties=species:S:1:pos:R:3 pbc="T T T"
Hg 0.0000 0.0000 0.0000
Hg 0.0000 0.0000 3.4224
Hg 0.0000 2.4787 1.7112
Hg -1.7204 5.4585 1.7112
Hg 2.1466 1.2394 5.1336
Hg 1.7204 5.4585 1.7112
Hg 5.5874 1.2394 5.1336
Hg 3.8670 4.2192 5.1336
Se 0.0000 4.4653 3.9341
Se 0.0000 4.4653 6.3331
Se 3.8670 2.2326 0.5117
Se 3.8670 2.2326 2.9107
```

Properties
Space group: P6_3/mmc, No. 194
Energy above the lowest structure with this stoichiometry: 0.171 eV per atom
Formation energy (no corrections): 0.24 eV/f.u.
Fermi-level density of states: 3.45 states/eV/cell


# 6
## Nd5Ag2Ru (PBE-GGA)

Data for a relaxed structure of Nd5Ag2Ru.

```
16
Lattice="7.8327 0.0000 0.0000 0.0000 12.0065 0.0000 0.0000 0.0000 4.8391" Properties=species:S:1:pos:R:3 pbc="T T T"
Nd 0.0000 0.0000 0.0000
Nd 1.1594 3.5585 0.0000
Nd 1.4438 6.9025 2.4196
Nd 2.4725 0.8992 2.4196
Nd 2.7570 9.5618 0.0000
Nd 3.9163 6.0032 0.0000
Nd 5.0757 2.4447 0.0000
Nd 5.3602 11.1073 2.4196
Nd 6.3888 5.1040 2.4196
Nd 6.6733 8.4480 0.0000
Ag 0.6006 10.0187 2.4196
Ag 3.3157 4.0155 2.4196
Ag 4.5170 7.9910 2.4196
Ag 7.2320 1.9877 2.4196
Ru 0.0000 6.0032 0.0000
Ru 3.9163 0.0000 0.0000
```

Properties
Space group: Pbam, No. 55
ΔH_f (0 K): -1.673 eV per formula unit
Fermi-level density of states: 15.84 states/eV/cell


> The highest Fermi-level density of states belongs to which entry?

Nd5Ag2Ru


> Which value of Fermi-level density of states does entry 1 give?

4.49 states/eV/cell


> What is the Fermi-level density of states in the first record?

4.49 states/eV/cell